Entry from the Alexandria database: an optimized crystal structure of YTl2Fe (GGA-PBE).

Values from the calculation:
E_form (eV per formula unit): 0.76
Spin magnetization (μB/f.u.): 2.74
Space group: P2/m (10)
Energy above the most stable polymorph in this dataset (eV/atom): 0.0516
VASP energy (eV per atom): -4.72
Density of states at the Fermi level (states/eV/cell): 3.6

Cell lengths 3.446, 4.616, 6.121 Å; angles 90.00, 103.10, 90.00 degrees
Fractional positions:
Y: 0.000 0.000 0.000
Tl: 0.355 0.500 0.728
Tl: 0.645 0.500 0.272
Fe: 0.500 0.000 0.500